Entry 1:
NdGa2AgPd5: relaxed, GGA-PBE.

Cell and atoms, written as POSCAR:
```
NdGa2AgPd5
1.0
-1.122 -1.983 3.480
0.044 -3.620 -2.048
9.094 -1.171 2.264
Pd Nd Ga Ag
5 1 2 1
Cartesian
2.492 -2.128 -0.409 Pd
4.008 -3.387 1.848 Pd
6.646 -2.663 0.625 Pd
1.909 -1.310 2.355 Pd
6.063 -1.845 3.389 Pd
4.547 -0.586 1.132 Nd
0.633 -2.952 1.008 Ga
7.383 -3.822 2.689 Ga
0.000 0.000 0.000 Ag
```

Values from the calculation:
ΔH_f (0 K) (eV/atom): -0.508
Calculated volume (A^3/atom): 18.2
Total moment (μB/cell): 0.0



Entry 2:
Pr3Sn5S12: relaxed, GGA-PBE.

Cell and atoms, written as POSCAR:
```
Pr3Sn5S12
1.0
14.038 0.000 0.000
-4.679 13.235 0.000
-4.679 -6.617 11.462
Pr S Sn
12 48 20
Cartesian
8.189 4.136 1.433 Pr
1.170 6.617 2.865 Pr
-5.849 6.617 8.596 Pr
-3.509 2.482 10.029 Pr
1.170 -0.827 4.298 Pr
8.189 9.099 1.433 Pr
5.849 0.827 4.298 Pr
-3.509 -2.482 10.029 Pr
-1.170 5.790 7.164 Pr
3.509 7.445 7.164 Pr
3.509 0.000 8.596 Pr
10.528 0.000 2.865 Pr
5.755 -0.944 6.750 S
-4.645 5.122 10.975 S
4.645 2.139 6.782 S
-5.148 -0.019 9.392 S
5.148 -1.802 10.443 S
1.264 0.944 6.750 S
5.321 5.703 8.904 S
-0.641 0.914 2.557 S
-2.981 7.531 8.904 S
9.827 6.636 2.070 S
9.324 1.495 0.487 S
-4.714 9.600 4.192 S
2.808 8.401 1.051 S
-0.469 4.834 1.051 S
8.283 -4.553 9.923 S
-1.264 -3.609 8.288 S
10.434 3.009 3.174 S
6.550 6.599 2.070 S
-0.469 8.420 1.019 S
4.038 -1.551 3.661 S
-4.038 5.980 6.218 S
2.981 1.551 3.661 S
-3.604 11.170 1.538 S
-5.755 3.609 8.288 S
2.808 4.815 1.019 S
-2.374 -5.122 10.975 S
-1.075 7.561 4.712 S
5.943 2.065 1.538 S
2.305 8.757 4.680 S
0.641 8.168 7.801 S
1.698 5.066 7.801 S
7.053 3.634 4.192 S
1.871 -1.784 10.410 S
9.393 -2.983 7.269 S
-1.871 0.019 9.392 S
-1.698 -0.637 5.244 S
3.415 5.673 4.712 S
5.148 1.784 10.410 S
5.943 10.226 3.174 S
-2.374 2.983 7.269 S
7.053 11.740 0.487 S
2.374 -2.139 6.782 S
7.660 -0.914 2.557 S
8.717 0.637 5.244 S
6.378 7.254 6.218 S
0.034 4.478 4.680 S
1.871 1.802 10.443 S
-1.264 4.553 9.923 S
7.019 0.000 0.000 Sn
-1.170 10.753 1.433 Sn
3.509 2.482 1.433 Sn
-2.340 6.617 0.000 Sn
-3.509 7.445 4.298 Sn
1.170 4.136 10.029 Sn
-4.679 3.309 5.731 Sn
3.509 9.926 2.865 Sn
-1.170 0.827 7.164 Sn
0.000 0.000 0.000 Sn
5.849 5.790 4.298 Sn
1.170 -3.309 8.596 Sn
4.679 -3.309 5.731 Sn
4.679 6.617 0.000 Sn
-1.170 3.309 2.865 Sn
2.340 3.309 5.731 Sn
5.849 3.309 8.596 Sn
8.189 -0.827 7.164 Sn
-2.340 -3.309 5.731 Sn
5.849 -4.136 10.029 Sn
```

Values from the calculation:
Calculated volume (A^3/atom): 26.6
ΔE_f (raw) (eV/f.u.): -18.8
Total moment (μB/cell): 0.0



Entry 3:
As2BrCl: relaxed, GGA-PBE.

Cell and atoms, written as POSCAR:
```
As2BrCl
1.0
4.438 -1.557 1.513
0.822 -0.830 4.800
0.567 -4.624 1.645
As Br Cl
2 1 1
Cartesian
4.369 -5.259 5.969 As
1.456 -1.753 1.990 As
2.913 -3.506 3.980 Br
0.000 0.000 0.000 Cl
```

Values from the calculation:
Calculated volume (A^3/atom): 21.3
Energy above the most stable polymorph in this dataset (meV/atom): 951
ΔE_f (raw) (eV/f.u.): 2.5
Total moment (μB/cell): 0.0